# 1
Crystalline YHfPO at its relaxed geometry. Source: OQMD via LeMat-Bulk, functional PBE-GGA.

Summary:
- Space-group type: Pmma (51)
- Volume: 18.58 Å³/atom
- Relative energy among the computed polymorphs: 144 meV per atom

Cell: 4.0242 7.2601 5.0877 Å, 90.00 90.00 90.00°
With the nearest neighbours (Å) after each atom.
Fractional coordinates of all 8 atoms:
O  0.5000  0.6788  0.9385  2 Hf 2.10, 1 Y 2.33
O  0.5000  0.3212  0.4385  2 Hf 2.10, 1 Y 2.33
Y  0.5000  0.6420  0.4387  3 O 2.33-2.56
Y  0.5000  0.3580  0.9387  3 O 2.33-2.56
P  0.0000  0.8838  0.4381  3 Hf 2.57-2.69, 2 Y 2.67
P  0.0000  0.1162  0.9382  3 Hf 2.57-2.69, 2 Y 2.67
Hf  0.0000  0.7622  0.9386  2 O 2.10
Hf  0.0000  0.2378  0.4386  2 O 2.10

=====

# 2
Crystalline YHfPO at its relaxed geometry. Source: OQMD via LeMat-Bulk, functional PBE-GGA.

Summary:
- Space-group type: P4/nmm (129)
- Volume: 16.70 Å³/atom
- Relative energy among the computed polymorphs: 487 meV per atom

Cell: 4.1188 4.1188 7.8736 Å, 90.00 90.00 90.00°
With the nearest neighbours (Å) after each atom.
Fractional coordinates of all 8 atoms:
Hf  0.5000  0.0000  0.8910  4 O 2.23
Hf  0.0000  0.5000  0.1090  4 O 2.23
Y  0.5000  0.5000  0.5000  4 P 2.77, 4 Y 2.91
Y  0.0000  0.0000  0.5000  4 P 2.77, 4 Y 2.91
P  0.5000  0.0000  0.2645  4 Y 2.77, 4 O 2.93, 1 Hf 2.94
P  0.0000  0.5000  0.7355  4 Y 2.77, 4 O 2.93, 1 Hf 2.94
O  0.0000  0.0000  0.0000  4 Hf 2.23
O  0.5000  0.5000  0.0000  4 Hf 2.23

=====

# 3
Crystalline YHfPO at its relaxed geometry. Source: OQMD via LeMat-Bulk, functional PBE-GGA.

Summary:
- Space-group type: Pmma (51)
- Volume: 22.66 Å³/atom
- Relative energy among the computed polymorphs: 726 meV per atom

Cell: 3.4101 5.5306 9.6128 Å, 90.00 90.00 90.00°
With the nearest neighbours (Å) after each atom.
Fractional coordinates of all 8 atoms:
Hf  0.0000  0.9100  0.5614  1 O 1.92
Hf  0.0000  0.0900  0.0614  1 O 1.92
O  0.0000  0.5629  0.5614  1 Hf 1.92
O  0.0000  0.4371  0.0614  1 Hf 1.92
P  0.0000  0.0005  0.8113  2 Hf 2.45
P  0.0000  0.9995  0.3113  2 Hf 2.45
Y  0.0000  0.4995  0.3118  2 O 2.43
Y  0.0000  0.5005  0.8118  2 O 2.43

=====

# 4
Crystalline HfZnPO at its relaxed geometry. Source: OQMD via LeMat-Bulk, functional PBE-GGA.

Summary:
- Space-group type: Pmc2_1 (26)
- Total energy: -6.729 eV/atom
- Volume: 15.85 Å³/atom

Cell: 3.4941 5.8166 6.2374 Å, 90.00 90.00 90.00°
With the nearest neighbours (Å) after each atom.
Fractional coordinates of all 8 atoms:
P  0.0000  0.2809  0.8206  2 Zn 2.34-2.42
P  0.0000  0.7191  0.3206  2 Zn 2.34-2.42
O  0.5000  0.2614  0.3644  2 Hf 2.07-2.14, 2 Zn 2.14
O  0.5000  0.7386  0.8644  2 Hf 2.07-2.14, 2 Zn 2.14
Hf  0.5000  0.4637  0.0913  2 O 2.07-2.14
Hf  0.5000  0.5363  0.5913  2 O 2.07-2.14
Zn  0.0000  0.9147  0.9777  2 O 2.14, 1 P 2.34
Zn  0.0000  0.0853  0.4777  2 O 2.14, 1 P 2.34

=====

# 5
Crystalline HfZnPO at its relaxed geometry. Source: OQMD via LeMat-Bulk, functional PBE-GGA.

Summary:
- Space-group type: P4/nmm (129)
- Total energy: -6.754 eV/atom
- Volume: 14.05 Å³/atom

Cell: 3.5888 3.5888 8.7248 Å, 90.00 90.00 90.00°
With the nearest neighbours (Å) after each atom.
Fractional coordinates of all 8 atoms:
Zn  0.0000  0.0000  0.5000  4 Zn 2.54, 4 P 2.58
Zn  0.5000  0.5000  0.5000  4 Zn 2.54, 4 P 2.58
O  0.0000  0.0000  0.0000  4 Hf 2.17
O  0.5000  0.5000  0.0000  4 Hf 2.17
Hf  0.5000  0.0000  0.8601  4 O 2.17
Hf  0.0000  0.5000  0.1399  4 O 2.17
P  0.5000  0.0000  0.2874  4 Zn 2.58, 4 Hf 2.85
P  0.0000  0.5000  0.7126  4 Zn 2.58, 4 Hf 2.85

=====

# 6
Crystalline HfZnPO at its relaxed geometry. Source: OQMD via LeMat-Bulk, functional PBE-GGA.

Summary:
- Space-group type: P4/nmm (129)
- Total energy: -6.087 eV/atom
- Volume: 19.00 Å³/atom

Cell: 4.2456 4.2456 8.4312 Å, 90.00 90.00 90.00°
With the nearest neighbours (Å) after each atom.
Fractional coordinates of all 8 atoms:
P  0.0000  0.5000  0.6614  4 Hf 2.52, 1 Zn 2.66
P  0.5000  0.0000  0.3386  4 Hf 2.52, 1 Zn 2.66
O  0.5000  0.5000  0.0000  4 Zn 2.13
O  0.0000  0.0000  0.0000  4 Zn 2.13
Zn  0.5000  0.0000  0.0234  4 O 2.13
Zn  0.0000  0.5000  0.9766  4 O 2.13
Hf  0.5000  0.5000  0.5000  4 P 2.52
Hf  0.0000  0.0000  0.5000  4 P 2.52